Here is AcPrSm2S4 after structural relaxation from the Alexandria database. Energies are from PBE-GGA.

The structure belongs to space group P2/m (No. 10); the cell edges are 7.099, 4.066 and 7.191 Å and the angles 90.00°, 109.00° and 90.00°. The distinct sites, in fractional coordinates, are Ac at (0.000, 0.000, 0.000), Pr at (0.500, 0.500, 0.000), Sm at (0.000, 0.500, 0.500), Sm at (0.500, 0.000, 0.500), S at (0.250, 0.000, 0.737) and S at (0.261, 0.500, 0.267).

As for the raw formation energy: -193.7 kJ per mole of atoms. Its crystal system is monoclinic. The value obtained for the spin magnetization is 0.00 μB per formula unit.